(1)
A plane-wave DFT calculation with PBE-GGA was carried out for crystalline LaSiSb at its relaxed geometry.

Results
V	80.13	Å³/f.u.
E_tot	-5.34	eV/atom
SG	P-6m2, No. 187

Cell: 4.7002 4.7002 4.1884 Å, 90.00 90.00 120.00°
With the nearest neighbours (Å) after each atom.
Fractional positions:
La: 0.0000 0.0000 0.0000  6 Si 3.43, 6 Sb 3.43
Sb: 0.6667 0.3333 0.5004  3 Si 2.71
Si: 0.3333 0.6667 0.4996  3 Sb 2.71

***

(2)
A plane-wave DFT calculation with PBE-GGA was carried out for crystalline KCa2Re at its relaxed geometry.

Results
V	144.98	Å³/f.u.
E_tot	-3.54	eV/atom
E_form	843	meV/atom
SG	Imm2, No. 44

Cell: 9.4560 9.4560 9.4560 Å, 161.21 147.79 37.55°
With the nearest neighbours (Å) after each atom.
Fractional positions:
Ca: 0.8974 0.8974 0.0000  2 Re 2.91, 2 Ca 3.09
Ca: 0.2583 0.7583 0.5000  4 Re 3.04, 2 Ca 3.09
K: 0.5848 0.5848 0.0000  2 K 3.09
Re: 0.7596 0.2596 0.5000  6 Ca 2.91-3.04, 2 Re 3.09

***

(3)
A plane-wave DFT calculation with PBE-GGA was carried out for crystalline PrSmEr2 at its relaxed geometry.

Results
V	130.89	Å³/f.u.
E_tot	-4.63	eV/atom
E_form	24	meV/atom
SG	R3m, No. 160

Cell: 3.6037 3.6037 11.8229 Å, 81.23 81.23 60.00°
With the nearest neighbours (Å) after each atom.
Fractional positions:
Pr: 0.5005 0.5005 0.4984  6 Er 3.59-3.63, 6 Pr 3.60
Sm: 0.6664 0.6664 0.0008  6 Er 3.54, 6 Sm 3.60
Er: 0.0819 0.0819 0.7542  3 Sm 3.54, 6 Er 3.60, 3 Pr 3.63
Er: 0.2511 0.2511 0.2466  3 Sm 3.54, 3 Pr 3.59, 6 Er 3.60